[1]
Here is crystalline ZrFePb2 at its relaxed geometry from Alexandria via LeMat-Bulk. Energies are from GGA-PBE.

Calculated values
Symmetry: P4mm
Offset from the most stable computed form, eV/atom: 0.0000
Magnetic moment, μB per formula unit: 1.34
Calculated total energy, eV per atom: -5.995

Lattice parameters (Å, degrees): 3.378 3.378 8.335 90.00 90.00 90.00
Fractional coordinates of all 4 atoms:
Zr (0.000, 0.000, 0.000)
Fe (0.500, 0.500, 0.150)
Pb (0.000, 0.000, 0.378)
Pb (0.500, 0.500, 0.735)

---

[2]
Here is crystalline NaNd2USe5 at its relaxed geometry from Alexandria via LeMat-Bulk. Energies are from GGA-PBE.

Calculated values
ΔE_f (raw), eV/atom: -1.3698
Symmetry: Immm
Magnetic moment, μB per formula unit: 2.67
Calculated total energy, eV per atom: -5.766

Lattice parameters (Å, degrees): 8.620 8.620 8.620 144.42 129.05 63.68
Fractional coordinates of all 9 atoms:
Na (0.000, 0.000, 0.000)
Nd (0.298, 0.798, 0.500)
Nd (0.702, 0.202, 0.500)
U (0.500, 0.500, 0.000)
Se (0.108, 0.350, 0.757)
Se (0.407, 0.650, 0.757)
Se (0.500, 0.000, 0.500)
Se (0.593, 0.350, 0.243)
Se (0.892, 0.650, 0.243)

---

Please write out number 2 again, unchanged.
Here is crystalline NaNd2USe5 at its relaxed geometry from Alexandria via LeMat-Bulk. Energies are from GGA-PBE.

Calculated values
ΔE_f (raw), eV/atom: -1.3698
Symmetry: Immm
Magnetic moment, μB per formula unit: 2.67
Calculated total energy, eV per atom: -5.766

Lattice parameters (Å, degrees): 8.620 8.620 8.620 144.42 129.05 63.68
Fractional coordinates of all 9 atoms:
Na (0.000, 0.000, 0.000)
Nd (0.298, 0.798, 0.500)
Nd (0.702, 0.202, 0.500)
U (0.500, 0.500, 0.000)
Se (0.108, 0.350, 0.757)
Se (0.407, 0.650, 0.757)
Se (0.500, 0.000, 0.500)
Se (0.593, 0.350, 0.243)
Se (0.892, 0.650, 0.243)

---

> Which value of calculated total energy does entry 1 give?

-5.995 eV per atom

---

> magnetic moment of number 2 (NaNd2USe5)?

2.67 μB per formula unit